The following is a DFT calculation (PBE) of an optimized crystal structure of NaAgPdAu2.

Calculated values
The crystal system is tetragonal. Its total energy is -2.73 eV/atom. The formation energy from the elements comes out at 0.45 eV/atom.

Cell and atoms, written as CIF:
```
data_NaAgPdAu2
_chemical_formula_sum 'Na1 Ag1 Pd1 Au2'
_cell_length_a 5.1489
_cell_length_b 5.1489
_cell_length_c 5.0846
_cell_angle_alpha 90.00
_cell_angle_beta 90.00
_cell_angle_gamma 90.00
_space_group_name_H-M_alt 'P 4/m m m'
_space_group_IT_number 123
_space_group_name_Hall '-P 4 2'
loop_
_atom_site_label
_atom_site_fract_x
_atom_site_fract_y
_atom_site_fract_z
_atom_site_occupancy
Na1 0.0000 0.0000 0.0000 1
Ag1 0.5000 0.5000 0.5000 1
Pd1 0.5000 0.5000 0.0000 1
Au1 0.0000 0.5000 0.5000 1
```

---

The following is a DFT calculation (PBE) of an optimized crystal structure of B3PbAu.

Calculated values
The energy above the most stable polymorph in this dataset is 0.8803 eV/atom. The crystal system is cubic. Its total energy is -2.86 eV/atom. The formation energy from the elements comes out at 2.54 eV/atom.

Cell and atoms, written as CIF:
```
data_B3PbAu
_chemical_formula_sum 'B3 Pb1 Au1'
_cell_length_a 4.6477
_cell_length_b 4.6477
_cell_length_c 4.6477
_cell_angle_alpha 90.00
_cell_angle_beta 90.00
_cell_angle_gamma 90.00
_space_group_name_H-M_alt 'P m -3 m'
_space_group_IT_number 221
_space_group_name_Hall '-P 4 2 3'
loop_
_atom_site_label
_atom_site_fract_x
_atom_site_fract_y
_atom_site_fract_z
_atom_site_occupancy
B1 0.0000 0.0000 0.5000 1
Pb1 0.0000 0.0000 0.0000 1
Au1 0.5000 0.5000 0.5000 1
```